Record 1
The following is a PBE-GGA calculation of an optimized crystal structure of Li3TmTl2O6, from Alexandria via LeMat-Bulk.

Raw formation energy = -1.701 eV per atom

Unit cell a=5.725 b=5.725 c=5.520 alpha=100.19 beta=100.19 gamma=119.84
Positions (direct):
O (0.409, 0.083, 0.252)
O (0.591, 0.917, 0.748)
O (0.756, 0.756, 0.244)
O (0.083, 0.409, 0.252)
O (0.917, 0.591, 0.748)
O (0.244, 0.244, 0.756)
Tm (0.000, 0.000, 0.000)
Tl (0.666, 0.334, 0.000)
Tl (0.334, 0.666, 0.000)
Li (0.500, 0.500, 0.500)
Li (0.183, 0.817, 0.500)
Li (0.817, 0.183, 0.500)

Record 2
The following is a PBE-GGA calculation of an optimized crystal structure of Tl2PPbS, from Alexandria via LeMat-Bulk.

Raw formation energy = 0.303 eV per atom

Unit cell a=5.852 b=4.343 c=5.852 alpha=90.00 beta=90.00 gamma=90.00
Positions (direct):
S (0.000, 0.000, 0.000)
Pb (0.500, 0.500, 0.500)
Tl (0.000, 0.000, 0.500)
Tl (0.500, 0.000, 0.000)
P (0.000, 0.500, 0.000)

Record 3
The following is a PBE-GGA calculation of an optimized crystal structure of Mn2V6Cr, from Alexandria via LeMat-Bulk.

Excess energy over the best structure of this formula in the dataset = 1.080 eV per atom
Energy of formation from the pure elements = 0.951 eV per atom

Unit cell a=3.716 b=3.716 c=10.375 alpha=100.32 beta=100.32 gamma=90.00
Positions (direct):
Mn (0.820, 0.820, 0.640)
Mn (0.180, 0.180, 0.360)
V (0.355, 0.834, 0.190)
V (0.166, 0.166, 0.810)
V (0.750, 0.250, 0.500)
V (0.250, 0.750, 0.500)
V (0.834, 0.355, 0.190)
V (0.645, 0.645, 0.810)
Cr (0.500, 0.500, 0.000)

Record 4
The following is a PBE-GGA calculation of an optimized crystal structure of UMn2Sn, from Alexandria via LeMat-Bulk.

Excess energy over the best structure of this formula in the dataset = 0.257 eV per atom
Energy of formation from the pure elements = 0.319 eV per atom

Unit cell a=3.220 b=3.220 c=7.737 alpha=77.99 beta=77.99 gamma=60.00
Positions (direct):
Mn (0.738, 0.738, 0.786)
Mn (0.262, 0.262, 0.214)
U (0.000, 0.000, 0.000)
Sn (0.500, 0.500, 0.500)

Record 5
The following is a PBE-GGA calculation of an optimized crystal structure of Tb2Tm3Tl6, from Alexandria via LeMat-Bulk.

Energy of formation from the pure elements = 0.014 eV per atom

Unit cell a=4.669 b=4.669 c=15.427 alpha=98.70 beta=98.70 gamma=90.00
Positions (direct):
Tl (0.302, 0.302, 0.604)
Tl (0.621, 0.121, 0.243)
Tl (0.698, 0.698, 0.396)
Tl (0.379, 0.879, 0.757)
Tl (0.121, 0.621, 0.243)
Tl (0.879, 0.379, 0.757)
Tm (0.202, 0.202, 0.403)
Tm (0.000, 0.000, 0.000)
Tm (0.798, 0.798, 0.597)
Tb (0.553, 0.553, 0.106)
Tb (0.447, 0.447, 0.894)

Record 6
The following is a PBE-GGA calculation of an optimized crystal structure of CuMoRh3, from Alexandria via LeMat-Bulk.

Excess energy over the best structure of this formula in the dataset = 0.088 eV per atom
Energy of formation from the pure elements = 1.324 eV per atom

Unit cell a=4.393 b=4.393 c=4.393 alpha=90.00 beta=90.00 gamma=90.00
Positions (direct):
Rh (0.000, 0.500, 0.000)
Rh (0.000, 0.000, 0.500)
Rh (0.500, 0.000, 0.000)
Cu (0.000, 0.000, 0.000)
Mo (0.500, 0.500, 0.500)

Record 7
The following is a PBE-GGA calculation of an optimized crystal structure of AlGe2W, from Alexandria via LeMat-Bulk.

Energy of formation from the pure elements = 0.849 eV per atom

Unit cell a=5.872 b=5.872 c=7.015 alpha=65.26 beta=65.26 gamma=90.00
Positions (direct):
W (0.750, 0.250, 0.500)
W (0.000, 0.000, 0.000)
Ge (0.637, 0.125, 0.250)
Ge (0.875, 0.887, 0.750)
Ge (0.113, 0.625, 0.250)
Ge (0.375, 0.363, 0.750)
Al (0.250, 0.750, 0.500)
Al (0.500, 0.500, 0.000)

Record 8
The following is a PBE-GGA calculation of an optimized crystal structure of Sc2CuPd4, from Alexandria via LeMat-Bulk.

Excess energy over the best structure of this formula in the dataset = 0.146 eV per atom
Energy of formation from the pure elements = -0.459 eV per atom

Unit cell a=8.268 b=5.514 c=6.145 alpha=116.66 beta=90.00 gamma=90.00
Positions (direct):
Sc (0.500, 0.141, 0.283)
Sc (0.000, 0.641, 0.283)
Sc (0.000, 0.359, 0.717)
Sc (0.500, 0.859, 0.717)
Pd (0.248, 0.256, 0.000)
Pd (0.750, 0.003, 0.500)
Pd (0.252, 0.756, 0.000)
Pd (0.750, 0.503, 0.500)
Pd (0.752, 0.744, 0.000)
Pd (0.250, 0.997, 0.500)
Pd (0.748, 0.244, 0.000)
Pd (0.250, 0.497, 0.500)
Cu (0.500, 0.500, 0.000)
Cu (0.000, 0.000, 0.000)

Record 9
The following is a PBE-GGA calculation of an optimized crystal structure of Pm6AlHg2, from Alexandria via LeMat-Bulk.

Energy of formation from the pure elements = -0.239 eV per atom

Unit cell a=8.923 b=8.923 c=8.923 alpha=110.43 beta=109.36 gamma=108.63
Positions (direct):
Hg (0.354, 0.000, 0.354)
Hg (0.500, 0.642, 0.142)
Hg (0.646, 0.000, 0.646)
Hg (0.500, 0.358, 0.858)
Pm (0.733, 0.061, 0.328)
Pm (0.560, 0.736, 0.824)
Pm (0.440, 0.264, 0.176)
Pm (0.088, 0.264, 0.824)
Pm (0.267, 0.595, 0.328)
Pm (0.194, 0.745, 0.939)
Pm (0.912, 0.736, 0.176)
Pm (0.267, 0.939, 0.672)
Pm (0.733, 0.405, 0.672)
Pm (0.806, 0.745, 0.551)
Pm (0.806, 0.255, 0.061)
Pm (0.194, 0.255, 0.449)
Al (0.000, 0.000, 0.000)
Al (0.000, 0.500, 0.500)

Record 10
The following is a PBE-GGA calculation of an optimized crystal structure of CaAlFe3, from Alexandria via LeMat-Bulk.

Excess energy over the best structure of this formula in the dataset = 0.000 eV per atom
Energy of formation from the pure elements = 0.727 eV per atom

Unit cell a=4.536 b=4.536 c=4.536 alpha=90.00 beta=90.00 gamma=90.00
Positions (direct):
Ca (0.500, 0.500, 0.500)
Al (0.000, 0.000, 0.000)
Fe (0.000, 0.500, 0.000)
Fe (0.000, 0.000, 0.500)
Fe (0.500, 0.000, 0.000)

Record 11
The following is a PBE-GGA calculation of an optimized crystal structure of Tm6TlTc2, from Alexandria via LeMat-Bulk.

Energy of formation from the pure elements = -0.187 eV per atom

Unit cell a=8.431 b=8.431 c=8.431 alpha=105.05 beta=111.82 gamma=111.63
Positions (direct):
Tc (0.365, 0.000, 0.365)
Tc (0.635, 0.000, 0.635)
Tc (0.500, 0.617, 0.117)
Tc (0.500, 0.383, 0.883)
Tm (0.214, 0.762, 0.977)
Tm (0.297, 0.617, 0.320)
Tm (0.473, 0.283, 0.189)
Tm (0.527, 0.717, 0.811)
Tm (0.786, 0.238, 0.023)
Tm (0.297, 0.977, 0.680)
Tm (0.906, 0.717, 0.189)
Tm (0.703, 0.383, 0.680)
Tm (0.214, 0.238, 0.452)
Tm (0.094, 0.283, 0.811)
Tm (0.703, 0.023, 0.320)
Tm (0.786, 0.762, 0.548)
Tl (0.000, 0.500, 0.500)
Tl (0.000, 0.000, 0.000)

Record 12
The following is a PBE-GGA calculation of an optimized crystal structure of ReC, from Alexandria via LeMat-Bulk.

Excess energy over the best structure of this formula in the dataset = 1.304 eV per atom
Energy of formation from the pure elements = 1.544 eV per atom

Unit cell a=4.491 b=4.491 c=5.507 alpha=90.00 beta=90.00 gamma=120.00
Positions (direct):
Re (0.000, 0.000, 0.250)
Re (0.333, 0.667, 0.750)
Re (0.000, 0.000, 0.750)
Re (0.667, 0.333, 0.250)
C (0.333, 0.667, 0.131)
C (0.333, 0.667, 0.369)
C (0.667, 0.333, 0.631)
C (0.667, 0.333, 0.869)

Number 1: magnetization 0.000 μB per atom. Number 2: magnetization 0.000 μB per atom. Number 3: magnetization 0.007 μB per atom. Number 4: magnetization 0.000 μB per atom. Number 5: magnetization 0.000 μB per atom. Number 6: magnetization 0.000 μB per atom. Number 7: magnetization 0.193 μB per atom. Number 8: magnetization 0.000 μB per atom. Number 9: magnetization 0.000 μB per atom. Number 10: magnetization 1.388 μB per atom. Number 11: magnetization 0.000 μB per atom. Number 12: magnetization 0.000 μB per atom.